Entry 1:
12
Lattice="6.7681 -2.4860 0.0000 6.7681 2.4860 0.0000 -4.0745 0.0000 7.0291" Properties=species:S:1:pos:R:3 comment="PBE Li7In4Ag, optimized geometry" dos_ef_per_ev_cell=3.481 spacegroup="C2/m, No. 12" total_magnetization_mub_per_cell=0.0 pbc="T T T"
Li 0.0000 0.0000 0.0000
Li 0.7238 0.0000 5.4029
Li 3.4515 0.0000 0.8746
Li 3.4155 0.0000 4.1181
Li 6.0461 0.0000 2.9110
Li 6.0101 0.0000 6.1545
Li 8.7378 0.0000 1.6262
In -1.9636 0.0000 5.0489
In 0.9257 0.0000 2.5768
In 8.5359 0.0000 4.4524
In 11.4252 0.0000 1.9802
Ag 6.7681 0.0000 0.0000

Entry 2:
16
Lattice="5.7230 0.0000 0.0000 1.6280 5.9481 0.0000 0.9088 1.3002 9.1796" Properties=species:S:1:pos:R:3 comment="PBE LiIn3Ag4, optimized geometry" dos_ef_per_ev_cell=4.877 spacegroup="P-1, No. 2" total_magnetization_mub_per_cell=0.0 pbc="T T T"
Li 0.9881 2.8943 2.0870
Li 7.2716 4.3540 7.0926
In 2.3358 2.5791 4.7947
In 3.4409 5.3950 9.0499
In 3.0140 0.7116 2.4267
In 5.2458 6.5367 6.7529
In 4.8189 1.8533 0.1297
In 5.9239 4.6692 4.3849
Ag 1.8304 5.8455 2.1330
Ag 3.0304 5.5071 4.8174
Ag 2.7849 2.4427 8.9505
Ag 3.8956 3.6382 2.4764
Ag 4.3642 3.6101 6.7032
Ag 5.4748 4.8055 0.2291
Ag 5.2293 1.7412 4.3622
Ag 6.4293 1.4028 7.0466

Entry 3:
16
Lattice="4.1382 0.0000 0.0000 0.0000 4.1382 0.0000 0.0000 0.0000 16.2376" Properties=species:S:1:pos:R:3 comment="PBE Li12InAg3, optimized geometry" dos_ef_per_ev_cell=7.299 spacegroup="P4/mmm, No. 123" total_magnetization_mub_per_cell=0.0 pbc="T T T"
Li 0.0000 0.0000 0.0000
Li 0.0000 0.0000 3.9506
Li 0.0000 0.0000 8.1188
Li 0.0000 0.0000 12.2870
Li 0.0000 2.0691 1.9849
Li 0.0000 2.0691 5.9535
Li 0.0000 2.0691 10.2841
Li 0.0000 2.0691 14.2527
Li 2.0691 0.0000 1.9849
Li 2.0691 0.0000 5.9535
Li 2.0691 0.0000 10.2841
Li 2.0691 0.0000 14.2527
In 2.0691 2.0691 8.1188
Ag 2.0691 2.0691 0.0000
Ag 2.0691 2.0691 3.9563
Ag 2.0691 2.0691 12.2814

Entry 4:
14
Lattice="6.3013 0.0000 0.0000 1.5898 6.1563 0.0000 3.1055 2.4308 6.8601" Properties=species:S:1:pos:R:3 comment="PBE LiIn2Ag4, optimized geometry" dos_ef_per_ev_cell=3.018 spacegroup="P1, No. 1" total_magnetization_mub_per_cell=0.0 pbc="T T T"
Li 0.0000 0.0000 0.0000
Li 4.6581 5.4315 2.9325
In 1.6417 1.6201 1.9444
In 6.2907 6.9808 4.9926
In 4.7591 1.6086 1.9217
In 6.3867 3.3666 4.0779
Ag 3.2192 3.2153 3.9640
Ag 4.6521 4.7723 5.9577
Ag 3.1822 3.9812 1.0179
Ag 3.2170 0.0246 0.0203
Ag 8.0363 4.8030 5.9636
Ag 6.3599 3.9945 1.0806
Ag 7.9630 5.5392 2.9539
Ag 9.5262 7.0800 4.9137

no.,uncorrected energy (eV/atom),E_form (eV/f.u.)
1,-2.4304,-2.0
2,-2.7859,-0.8
3,-2.2904,-2.4
4,-2.7834,-0.7